Run 1
! TbInHg4 (PBE, optimized geometry); values from VASP
! Space-group type: No. 65
! Magnetic moment, μB/f.u.: 0.0
&SYSTEM
  ibrav = 0, nat = 6, ntyp = 3
/
ATOMIC_SPECIES
Tb 158.93 Tb.upf
In 114.82 In.upf
Hg 200.59 Hg.upf
ATOMIC_POSITIONS crystal
Tb 0.000 0.000 0.000
In 0.500 0.500 0.500
Hg 0.164 0.836 0.500
Hg 0.329 0.671 0.000
Hg 0.671 0.329 0.000
Hg 0.836 0.164 0.500
CELL_PARAMETERS angstrom
2.358 -6.490 0.000
2.358 6.490 0.000
0.000 0.000 4.776

***

Run 2
! TbInHg4 (PBE, optimized geometry); values from VASP
! Space-group type: No. 216
! Magnetic moment, μB/f.u.: 0.0
&SYSTEM
  ibrav = 0, nat = 6, ntyp = 3
/
ATOMIC_SPECIES
Tb 158.93 Tb.upf
In 114.82 In.upf
Hg 200.59 Hg.upf
ATOMIC_POSITIONS crystal
Tb 0.000 0.000 0.000
In 0.750 0.750 0.750
Hg 0.375 0.375 0.375
Hg 0.375 0.375 0.876
Hg 0.375 0.876 0.375
Hg 0.876 0.375 0.375
CELL_PARAMETERS angstrom
0.000 4.262 4.262
4.262 0.000 4.262
4.262 4.262 0.000

***

Which structure is most stable? run 1, by 187 meV per atom over the runner-up.